This record from the Alexandria database describes a relaxed structure of NdHoCdPd. The functional is PBE.

Cell: 5.1986 5.1986 5.1986 Å, 60.00 60.00 60.00°
Last column: nearest neighbours and their distance in Å.
Fractional positions:
Nd1 0.0000 0.0000 0.0000  4 Cd 3.18, 4 Pd 3.18
Ho1 0.5000 0.5000 0.5000  4 Cd 3.18, 4 Pd 3.18
Cd1 0.7500 0.7500 0.7500  4 Ho 3.18, 4 Nd 3.18
Pd1 0.2500 0.2500 0.2500  4 Ho 3.18, 4 Nd 3.18

Calculated values
* calculated formation energy: -0.5055 eV per atom


This record from the Alexandria database describes a relaxed structure of Zn2Se. The functional is PBE.

Cell: 6.2548 6.2548 6.2548 Å, 151.82 151.82 40.28°
Last column: nearest neighbours and their distance in Å.
Fractional positions:
Zn1 0.1798 0.1798 0.0000  4 Zn 2.71, 4 Se 3.02
Zn2 0.8202 0.8202 0.0000  4 Zn 2.71, 4 Se 3.02
Se1 0.5000 0.5000 0.0000  8 Zn 3.02, 4 Se 3.05

Calculated values
* offset from the most stable computed form: 1.04 eV/f.u.